(one)
VASP calculation (PBE) on crystalline La4NdDy7 at its relaxed geometry.

It has space group P-3m1 (No. 164), with a = 3.6286 Å, b = 3.6286 Å, c = 35.2820 Å, α = 90.00°, β = 90.00° and γ = 120.00°. The distinct sites, in fractional coordinates, are La at (0.3333, 0.6667, 0.1669), La at (0.3333, 0.6667, 0.4162), Nd at (0.0000, 0.0000, 0.0000), Dy at (0.0000, 0.0000, 0.2513), Dy at (0.0000, 0.0000, 0.5000), Dy at (0.3333, 0.6667, 0.6682) and Dy at (0.3333, 0.6667, 0.9174).

The total magnetization comes out at 0.0 μB/f.u.

=====

(two)
VASP calculation (PBE) on crystalline La4NdDy7 at its relaxed geometry.

It has space group C2/m (No. 12), with a = 12.2025 Å, b = 5.9893 Å, c = 13.0100 Å, α = 90.00°, β = 117.86° and γ = 90.00°. The distinct sites, in fractional coordinates, are La at (0.1347, 0.0000, 0.2772), La at (0.2208, 0.5000, 0.1648), Nd at (0.0000, 0.5000, 0.5000), Dy at (0.0000, 0.0000, 0.5000), Dy at (0.0700, 0.5000, 0.8129), Dy at (0.1332, 0.0000, 0.9950) and Dy at (0.2109, 0.5000, 0.4238).

The total magnetization comes out at 0.0 μB/f.u.

=====

(one) is preferred energetically. Next in line: 225 meV/atom higher.

=====

(one)
VASP calculation (PBE) on crystalline La2Nd7Dy2 at its relaxed geometry.

It has space group C2/c (No. 15), with a = 16.2430 Å, b = 6.4311 Å, c = 15.9704 Å, α = 90.00°, β = 111.44° and γ = 90.00°. The distinct sites, in fractional coordinates, are La at (0.1376, 0.1673, 0.4776), Nd at (0.0000, 0.3307, 0.2500), Nd at (0.0473, 0.1663, 0.6594), Nd at (0.0931, 0.3359, 0.0707), Nd at (0.1822, 0.3349, 0.8841) and Dy at (0.2269, 0.1658, 0.2936).

The total magnetization comes out at 0.0 μB/f.u.

=====

(two)
VASP calculation (PBE) on crystalline La2Nd7Dy2 at its relaxed geometry.

It has space group C2/m (No. 12), with a = 10.3377 Å, b = 11.4401 Å, c = 7.1359 Å, α = 90.00°, β = 112.73° and γ = 90.00°. The distinct sites, in fractional coordinates, are La at (0.0000, 0.1645, 0.0000), Nd at (0.0000, 0.0000, 0.5000), Nd at (0.1702, 0.2523, 0.6917), Nd at (0.1764, 0.5000, 0.9812) and Dy at (0.1410, 0.5000, 0.4349).

The total magnetization comes out at 0.0 μB/f.u.

=====

(one) is preferred energetically. Next in line: 175 meV/atom higher.

=====

(one)
VASP calculation (PBE) on crystalline La2NdDy4 at its relaxed geometry.

It has space group C2/m (No. 12), with a = 11.0964 Å, b = 11.0967 Å, c = 8.1856 Å, α = 90.00°, β = 90.12° and γ = 90.00°. The distinct sites, in fractional coordinates, are La at (0.0000, 0.0000, 0.0000), La at (0.0000, 0.0000, 0.5000), La at (0.2500, 0.2500, 0.0000), Nd at (0.0000, 0.5000, 0.0000), Nd at (0.0000, 0.5000, 0.5000), Dy at (0.0007, 0.2515, 0.2812), Dy at (0.2485, 0.5000, 0.7188) and Dy at (0.2486, 0.5000, 0.2812).

The total magnetization comes out at 0.2 μB/f.u.

=====

(two)
VASP calculation (PBE) on crystalline La2NdDy4 at its relaxed geometry.

It has space group I4/mmm (No. 139), with a = 4.6332 Å, b = 4.6332 Å, c = 22.7555 Å, α = 90.00°, β = 90.00° and γ = 90.00°. The distinct sites, in fractional coordinates, are La at (0.0000, 0.0000, 0.0992), Nd at (0.0000, 0.0000, 0.5000), Dy at (0.0000, 0.0000, 0.3595) and Dy at (0.0000, 0.5000, 0.2500).

The total magnetization comes out at 0.0 μB/f.u.

=====

(two) is preferred energetically. Next in line: 78 meV/atom higher.

=====

(one)
VASP calculation (PBE) on crystalline LaNd4Dy6 at its relaxed geometry.

It has space group P-6m2 (No. 187), with a = 11.0906 Å, b = 11.0906 Å, c = 3.5617 Å, α = 90.00°, β = 90.00° and γ = 120.00°. The distinct sites, in fractional coordinates, are La at (0.0000, 0.0000, 0.0000), Nd at (0.3333, 0.6667, 0.0000), Nd at (0.3958, 0.1979, 0.5000), Dy at (0.0072, 0.5036, 0.0000) and Dy at (0.1711, 0.3421, 0.5000).

The total magnetization comes out at 0.0 μB/f.u.

=====

(two)
VASP calculation (PBE) on crystalline LaNd4Dy6 at its relaxed geometry.

It has space group Cmcm (No. 63), with a = 5.8557 Å, b = 9.6891 Å, c = 26.0696 Å, α = 90.00°, β = 90.00° and γ = 90.00°. The distinct sites, in fractional coordinates, are La at (0.0000, 0.1958, 0.2500), Nd at (0.0000, 0.1539, 0.5439), Nd at (0.0000, 0.4625, 0.6227), Dy at (0.0000, 0.1342, 0.6817), Dy at (0.0000, 0.1935, 0.1012), Dy at (0.0000, 0.4671, 0.7500) and Dy at (0.0000, 0.5000, 0.0000).

The total magnetization comes out at 0.0 μB/f.u.

=====

(two) is preferred energetically. Next in line: 35 meV/atom higher.

=====

(one)
VASP calculation (PBE) on crystalline La4NdDy at its relaxed geometry.

It has space group Cmmm (No. 65), with a = 6.1575 Å, b = 11.3433 Å, c = 6.1497 Å, α = 90.00°, β = 90.00° and γ = 90.00°. The distinct sites, in fractional coordinates, are La at (0.0000, 0.1580, 0.0000), La at (0.0000, 0.3408, 0.5000), Nd at (0.0000, 0.5000, 0.0000) and Dy at (0.0000, 0.0000, 0.5000).

The total magnetization comes out at 0.0 μB/f.u.

=====

(two)
VASP calculation (PBE) on crystalline La4NdDy at its relaxed geometry.

It has space group Pmmm (No. 47), with a = 3.6825 Å, b = 5.2473 Å, c = 11.0478 Å, α = 90.00°, β = 90.00° and γ = 90.00°. The distinct sites, in fractional coordinates, are La at (0.0000, 0.0000, 0.1670), La at (0.5000, 0.5000, 0.3278), Nd at (0.0000, 0.0000, 0.5000) and Dy at (0.5000, 0.5000, 0.0000).

The total magnetization comes out at 0.0 μB/f.u.

=====

(two) is preferred energetically. Next in line: 79 meV/atom higher.

=====

(one)
VASP calculation (PBE) on crystalline La2Nd8Dy at its relaxed geometry.

It has space group C2/m (No. 12), with a = 11.4024 Å, b = 7.5349 Å, c = 9.5476 Å, α = 90.00°, β = 107.11° and γ = 90.00°. The distinct sites, in fractional coordinates, are La at (0.1411, 0.0000, 0.1327), Nd at (0.0656, 0.2847, 0.7688), Nd at (0.1806, 0.5000, 0.1275), Nd at (0.1919, 0.5000, 0.4965) and Dy at (0.0000, 0.0000, 0.5000).

The total magnetization comes out at 0.0 μB/f.u.

=====

(two)
VASP calculation (PBE) on crystalline La2Nd8Dy at its relaxed geometry.

It has space group C2/m (No. 12), with a = 9.2391 Å, b = 16.7017 Å, c = 6.0638 Å, α = 90.00°, β = 122.82° and γ = 90.00°. The distinct sites, in fractional coordinates, are La at (0.0000, 0.1933, 0.0000), Nd at (0.0000, 0.2947, 0.5000), Nd at (0.0802, 0.0000, 0.2967), Nd at (0.2136, 0.3855, 0.1758) and Dy at (0.0000, 0.5000, 0.5000).

The total magnetization comes out at 0.0 μB/f.u.

=====

(one) is preferred energetically. Next in line: 18 meV/atom higher.